# Li3TbCd2

A relaxed structure of Li3TbCd2 (GGA-PBE, Alexandria).

Properties
Space-group type: C2/m (12)
Calculated formation energy (eV/f.u.): -1.03

Cell lengths 4.5080, 7.4737, 9.8390 Å; angles 124.46, 90.00, 107.55 degrees
Positions (direct):
Cd  0.5778  0.1556  0.2021
Cd  0.8127  0.6253  0.2713
Cd  0.1873  0.3747  0.7287
Cd  0.4222  0.8444  0.7979
Li  0.0605  0.1211  0.3843
Li  0.2701  0.5402  0.4246
Li  0.9395  0.8789  0.6157
Li  0.5618  0.1236  0.6766
Li  0.7299  0.4598  0.5754
Li  0.4382  0.8764  0.3234
Tb  0.8613  0.7227  0.9877
Tb  0.1387  0.2773  0.0123